Entry 1:
Density functional theory data (PBE) for NaDyTh2Bi4 after structural relaxation.

The value obtained for the total energy is -5.105 eV/atom. The mass density is 9.077 g/cm3. The space group is P2/m. For the volume, the calculation gives 34.0 Å³/atom. The density of states at the Fermi level is 2.12 states/eV per cell.

a = 7.814 Å, b = 4.603 Å, c = 8.009 Å
α = 90.00°, β = 109.39°, γ = 90.00°
Atoms (fractional coordinates):
Na: 0.000 0.000 0.000
Dy: 0.000 0.500 0.500
Th: 0.500 0.000 0.500
Th: 0.500 0.500 0.000
Bi: 0.244 0.000 0.748
Bi: 0.250 0.500 0.252
Bi: 0.750 0.500 0.748
Bi: 0.756 0.000 0.252

Entry 2:
Density functional theory data (PBE) for PWAuC2 after structural relaxation.

The value obtained for the total energy is -6.303 eV/atom. The mass density is 8.302 g/cm3. The space group is P4/mmm. For the volume, the calculation gives 17.4 Å³/atom. The density of states at the Fermi level is 3.18 states/eV per cell.

a = 3.944 Å, b = 3.944 Å, c = 5.603 Å
α = 90.00°, β = 90.00°, γ = 90.00°
Atoms (fractional coordinates):
P: 0.000 0.000 0.000
W: 0.500 0.500 0.500
Au: 0.500 0.500 0.000
C: 0.000 0.500 0.500
C: 0.500 0.000 0.500

Entry 3:
Density functional theory data (PBE) for TbHoPb2 after structural relaxation.

The value obtained for the total energy is -4.589 eV/atom. The mass density is 10.895 g/cm3. The space group is P4/mmm. For the volume, the calculation gives 28.1 Å³/atom. The density of states at the Fermi level is 3.21 states/eV per cell.

a = 3.550 Å, b = 3.550 Å, c = 8.927 Å
α = 90.00°, β = 90.00°, γ = 90.00°
Atoms (fractional coordinates):
Tb: 0.000 0.000 0.000
Ho: 0.000 0.000 0.500
Pb: 0.500 0.500 0.252
Pb: 0.500 0.500 0.748

Entry 4:
Density functional theory data (PBE) for SrAlReW2 after structural relaxation.

The calculation puts the energy above the most stable polymorph in this dataset at 588.4 meV/atom. The mass density is 10.002 g/cm3. The space group is P4/mmm. For the volume, the calculation gives 22.2 Å³/atom. The density of states at the Fermi level is 6.02 states/eV per cell.

a = 4.667 Å, b = 4.667 Å, c = 5.095 Å
α = 90.00°, β = 90.00°, γ = 90.00°
Atoms (fractional coordinates):
Sr: 0.000 0.000 0.000
Al: 0.000 0.000 0.500
Re: 0.500 0.500 0.000
W: 0.000 0.500 0.500
W: 0.500 0.000 0.500

Entry 5:
Density functional theory data (PBE) for SrInAu2 after structural relaxation.

The value obtained for the total energy is -3.313 eV/atom. The mass density is 9.576 g/cm3. The space group is C2/m. For the volume, the calculation gives 25.9 Å³/atom. The density of states at the Fermi level is 1.48 states/eV per cell.

a = 4.821 Å, b = 4.821 Å, c = 5.854 Å
α = 114.48°, β = 114.48°, γ = 59.95°
Atoms (fractional coordinates):
Sr: 0.000 0.000 0.000
In: 0.500 0.500 0.500
Au: 0.213 0.213 0.640
Au: 0.787 0.787 0.360

Entry 6:
Density functional theory data (PBE) for Tm2Zn15Rh2 after structural relaxation.

The value obtained for the total energy is -2.530 eV/atom. The mass density is 8.429 g/cm3. The space group is R-3m. For the volume, the calculation gives 15.8 Å³/atom. The density of states at the Fermi level is 7.34 states/eV per cell.

a = 6.738 Å, b = 6.738 Å, c = 6.738 Å
α = 83.47°, β = 83.47°, γ = 83.47°
Atoms (fractional coordinates):
Tm: 0.171 0.171 0.171
Tm: 0.829 0.829 0.829
Zn: 0.000 0.500 0.500
Zn: 0.146 0.146 0.653
Zn: 0.146 0.653 0.146
Zn: 0.215 0.500 0.785
Zn: 0.215 0.785 0.500
Zn: 0.347 0.854 0.854
Zn: 0.500 0.000 0.500
Zn: 0.500 0.215 0.785
Zn: 0.500 0.500 0.000
Zn: 0.500 0.785 0.215
Zn: 0.653 0.146 0.146
Zn: 0.785 0.215 0.500
Zn: 0.785 0.500 0.215
Zn: 0.854 0.347 0.854
Zn: 0.854 0.854 0.347
Rh: 0.388 0.388 0.388
Rh: 0.612 0.612 0.612

Entry 7:
Density functional theory data (PBE) for SrCa2Nd after structural relaxation.

The calculation puts the energy above the most stable polymorph in this dataset at 82.1 meV/atom. The mass density is 3.034 g/cm3. The space group is P3m1. For the volume, the calculation gives 42.7 Å³/atom. The density of states at the Fermi level is 6.04 states/eV per cell.

a = 3.827 Å, b = 3.827 Å, c = 13.462 Å
α = 90.00°, β = 90.00°, γ = 120.00°
Atoms (fractional coordinates):
Sr: 0.000 0.000 0.000
Ca: 0.333 0.667 0.745
Ca: 0.667 0.333 0.251
Nd: 0.667 0.333 0.518

Entry 8:
Density functional theory data (PBE) for Hg3Ir after structural relaxation.

The calculation puts the energy above the most stable polymorph in this dataset at 288.5 meV/atom. The mass density is 16.094 g/cm3. The space group is Pm-3n. For the volume, the calculation gives 20.5 Å³/atom. The density of states at the Fermi level is 2.61 states/eV per cell.

a = 5.472 Å, b = 5.472 Å, c = 5.472 Å
α = 90.00°, β = 90.00°, γ = 90.00°
Atoms (fractional coordinates):
Hg: 0.000 0.250 0.500
Hg: 0.000 0.750 0.500
Hg: 0.250 0.500 0.000
Hg: 0.500 0.000 0.250
Hg: 0.500 0.000 0.750
Hg: 0.750 0.500 0.000
Ir: 0.000 0.000 0.000
Ir: 0.500 0.500 0.500

mass density of number 8 (Hg3Ir)? 16.094 g/cm3

Repeat the sixth record exactly.
Density functional theory data (PBE) for Tm2Zn15Rh2 after structural relaxation.

The value obtained for the total energy is -2.530 eV/atom. The mass density is 8.429 g/cm3. The space group is R-3m. For the volume, the calculation gives 15.8 Å³/atom. The density of states at the Fermi level is 7.34 states/eV per cell.

a = 6.738 Å, b = 6.738 Å, c = 6.738 Å
α = 83.47°, β = 83.47°, γ = 83.47°
Atoms (fractional coordinates):
Tm: 0.171 0.171 0.171
Tm: 0.829 0.829 0.829
Zn: 0.000 0.500 0.500
Zn: 0.146 0.146 0.653
Zn: 0.146 0.653 0.146
Zn: 0.215 0.500 0.785
Zn: 0.215 0.785 0.500
Zn: 0.347 0.854 0.854
Zn: 0.500 0.000 0.500
Zn: 0.500 0.215 0.785
Zn: 0.500 0.500 0.000
Zn: 0.500 0.785 0.215
Zn: 0.653 0.146 0.146
Zn: 0.785 0.215 0.500
Zn: 0.785 0.500 0.215
Zn: 0.854 0.347 0.854
Zn: 0.854 0.854 0.347
Rh: 0.388 0.388 0.388
Rh: 0.612 0.612 0.612